A plane-wave DFT calculation with GGA-PBE was carried out for S2IO after structural relaxation. Values from VASP.

Calculated values
As for the density of states at the Fermi level: 14.1 states/eV per cell. The value obtained for the uncorrected formation energy is 0.62 eV per atom. For the energy above the lowest structure with this stoichiometry, the calculation gives 192 meV/atom. The calculation puts the total moment at 0.0 μB per cell. For the calculated volume, the calculation gives 21.01 Å³ per atom.

Geometry as Quantum ESPRESSO input:
```
&SYSTEM
  ibrav = 0, nat = 8, ntyp = 3
/
ATOMIC_SPECIES
I 126.90 I.upf
S 32.06 S.upf
O 16.00 O.upf
CELL_PARAMETERS angstrom
5.314 0.000 0.000
0.000 5.314 0.000
2.657 2.657 5.954
ATOMIC_POSITIONS angstrom
I 0.000 0.000 0.000
I 5.314 2.657 2.977
S 6.642 5.316 4.466
S 3.985 5.311 4.466
S 2.659 1.328 1.489
S 2.654 3.985 1.489
O 2.657 2.657 0.000
O 2.657 5.314 2.977
```